# Pr3Tl2In, optimized geometry, DFT PBE
data_Pr3Tl2In
_space_group_name_H-M_alt 'P 4/m m m'
_space_group_IT_number 123
_space_group_name_Hall '-P 4 2'
_cell_length_a 3.742
_cell_length_b 3.742
_cell_length_c 12.926
_cell_angle_alpha 90.00
_cell_angle_beta 90.00
_cell_angle_gamma 90.00
loop_
_atom_site_label
_atom_site_type_symbol
_atom_site_fract_x
_atom_site_fract_y
_atom_site_fract_z
_atom_site_occupancy
Pr1 Pr 0.000 0.000 0.000 1
Pr2 Pr 0.000 0.000 0.335 1
Tl1 Tl 0.500 0.500 0.167 1
In1 In 0.500 0.500 0.500 1
# * calculated volume: 30.2 Å³ per atom
# * energy: -24.37 eV for the cell shown
# * size of the total moment: 0.00 μB/cell

---

# Pr4TlIn, optimized geometry, DFT PBE
data_Pr4TlIn
_space_group_name_H-M_alt 'P m m n'
_space_group_IT_number 59
_cell_length_a 5.565
_cell_length_b 7.038
_cell_length_c 9.782
_cell_angle_alpha 90.00
_cell_angle_beta 90.00
_cell_angle_gamma 90.00
loop_
_space_group_symop_operation_xyz
'x,y,z'
'-x,-y,-z'
'-x+1/2,-y+1/2,z'
'x+1/2,y+1/2,-z'
'x+1/2,-y,-z'
'-x+1/2,y,z'
'-x,y+1/2,-z'
'x,-y+1/2,z'
loop_
_atom_site_label
_atom_site_type_symbol
_atom_site_fract_x
_atom_site_fract_y
_atom_site_fract_z
_atom_site_occupancy
Pr1 Pr 0.250 0.011 0.225 1
Pr2 Pr 0.250 0.250 0.902 1
Pr3 Pr 0.250 0.750 0.577 1
Tl1 Tl 0.250 0.250 0.579 1
In1 In 0.250 0.750 0.913 1
# * calculated volume: 31.9 Å³ per atom
# * energy: -52.24 eV for the cell shown
# * size of the total moment: 0.00 μB/cell

---

# PrTlIn, optimized geometry, DFT PBE
data_PrTlIn
_space_group_name_H-M_alt 'P 3 m 1'
_space_group_IT_number 156
_space_group_name_Hall 'P 3 -2"'
_cell_length_a 5.0455
_cell_length_b 5.0455
_cell_length_c 3.9187
_cell_angle_alpha 90.00
_cell_angle_beta 90.00
_cell_angle_gamma 120.00
loop_
_atom_site_label
_atom_site_type_symbol
_atom_site_fract_x
_atom_site_fract_y
_atom_site_fract_z
_atom_site_occupancy
Pr1 Pr 0.0000 0.0000 0.0000 1
Tl1 Tl 0.3333 0.6667 0.3824 1
In1 In 0.6667 0.3333 0.5872 1
# * calculated volume: 28.8 Å³ per atom
# * energy: -11.01 eV for the cell shown
# * size of the total moment: 0.00 μB/cell

---

# Pr3Tl4In, optimized geometry, DFT PBE
data_Pr3Tl4In
_space_group_name_H-M_alt 'I m m m'
_space_group_IT_number 71
_space_group_name_Hall '-I 2 2'
_cell_length_a 3.714
_cell_length_b 9.851
_cell_length_c 13.631
_cell_angle_alpha 90.00
_cell_angle_beta 90.00
_cell_angle_gamma 90.00
loop_
_atom_site_label
_atom_site_type_symbol
_atom_site_fract_x
_atom_site_fract_y
_atom_site_fract_z
_atom_site_occupancy
Pr1 Pr 0.000 0.000 0.000 1
Pr2 Pr 0.000 0.500 0.208 1
Tl1 Tl 0.000 0.267 0.374 1
In1 In 0.000 0.000 0.500 1
# * calculated volume: 31.2 Å³ per atom
# * energy: -56.76 eV for the cell shown
# * size of the total moment: 0.00 μB/cell

---

# PrTl3In, optimized geometry, DFT PBE
data_PrTl3In
_space_group_name_H-M_alt 'P m m n'
_space_group_IT_number 59
_cell_length_a 4.652
_cell_length_b 8.066
_cell_length_c 8.103
_cell_angle_alpha 90.00
_cell_angle_beta 90.00
_cell_angle_gamma 90.00
loop_
_space_group_symop_operation_xyz
'x,y,z'
'-x,-y,-z'
'-x+1/2,-y+1/2,z'
'x+1/2,y+1/2,-z'
'x+1/2,-y,-z'
'-x+1/2,y,z'
'-x,y+1/2,-z'
'x,-y+1/2,z'
loop_
_atom_site_label
_atom_site_type_symbol
_atom_site_fract_x
_atom_site_fract_y
_atom_site_fract_z
_atom_site_occupancy
Pr1 Pr 0.250 0.250 0.232 1
Tl1 Tl 0.250 0.046 0.765 1
Tl2 Tl 0.250 0.750 0.458 1
In1 In 0.250 0.750 0.063 1
# * calculated volume: 30.4 Å³ per atom
# * energy: -30.37 eV for the cell shown
# * size of the total moment: 0.00 μB/cell

---

# Pr4Tl3In, optimized geometry, DFT PBE
data_Pr4Tl3In
_space_group_name_H-M_alt 'P 4/m m m'
_space_group_IT_number 123
_space_group_name_Hall '-P 4 2'
_cell_length_a 3.925
_cell_length_b 3.925
_cell_length_c 15.723
_cell_angle_alpha 90.00
_cell_angle_beta 90.00
_cell_angle_gamma 90.00
loop_
_atom_site_label
_atom_site_type_symbol
_atom_site_fract_x
_atom_site_fract_y
_atom_site_fract_z
_atom_site_occupancy
Pr1 Pr 0.000 0.000 0.123 1
Pr2 Pr 0.000 0.000 0.374 1
Tl1 Tl 0.500 0.500 0.249 1
Tl2 Tl 0.500 0.500 0.500 1
In1 In 0.500 0.500 0.000 1
# * calculated volume: 30.3 Å³ per atom
# * energy: -32.33 eV for the cell shown
# * size of the total moment: 0.00 μB/cell

---

# Pr7Tl4In, optimized geometry, DFT PBE
data_Pr7Tl4In
_space_group_name_H-M_alt 'C 1 2/m 1'
_space_group_IT_number 12
_space_group_name_Hall '-C 2y'
_cell_length_a 16.976
_cell_length_b 5.921
_cell_length_c 9.214
_cell_angle_alpha 90.00
_cell_angle_beta 121.90
_cell_angle_gamma 90.00
loop_
_atom_site_label
_atom_site_type_symbol
_atom_site_fract_x
_atom_site_fract_y
_atom_site_fract_z
_atom_site_occupancy
Pr1 Pr 0.000 0.000 0.000 1
Pr2 Pr 0.067 0.500 0.734 1
Pr3 Pr 0.166 0.500 0.403 1
Pr4 Pr 0.217 0.000 0.825 1
Tl1 Tl 0.059 0.000 0.408 1
Tl2 Tl 0.215 0.000 0.184 1
In1 In 0.000 0.500 0.000 1
# * calculated volume: 32.8 Å³ per atom
# * energy: -96.54 eV for the cell shown
# * size of the total moment: 0.00 μB/cell

---

# Pr11Tl4In9, optimized geometry, DFT PBE
data_Pr11Tl4In9
_space_group_name_H-M_alt 'C m m m'
_space_group_IT_number 65
_space_group_name_Hall '-C 2 2'
_cell_length_a 15.821
_cell_length_b 23.741
_cell_length_c 3.814
_cell_angle_alpha 90.00
_cell_angle_beta 90.00
_cell_angle_gamma 90.00
loop_
_atom_site_label
_atom_site_type_symbol
_atom_site_fract_x
_atom_site_fract_y
_atom_site_fract_z
_atom_site_occupancy
Pr1 Pr 0.000 0.000 0.000 1
Pr2 Pr 0.000 0.181 0.000 1
Pr3 Pr 0.000 0.375 0.000 1
Pr4 Pr 0.226 0.179 0.000 1
Pr5 Pr 0.240 0.000 0.000 1
Tl1 Tl 0.163 0.409 0.500 1
In1 In 0.000 0.500 0.500 1
In2 In 0.108 0.275 0.500 1
In3 In 0.114 0.089 0.500 1
# * calculated volume: 29.8 Å³ per atom
# * energy: -193.45 eV for the cell shown
# * size of the total moment: 0.00 μB/cell

---

# Pr4TlIn3, optimized geometry, DFT PBE
data_Pr4TlIn3
_space_group_name_H-M_alt 'P 4/m m m'
_space_group_IT_number 123
_space_group_name_Hall '-P 4 2'
_cell_length_a 3.907
_cell_length_b 3.907
_cell_length_c 15.688
_cell_angle_alpha 90.00
_cell_angle_beta 90.00
_cell_angle_gamma 90.00
loop_
_atom_site_label
_atom_site_type_symbol
_atom_site_fract_x
_atom_site_fract_y
_atom_site_fract_z
_atom_site_occupancy
Pr1 Pr 0.000 0.000 0.124 1
Pr2 Pr 0.000 0.000 0.373 1
Tl1 Tl 0.500 0.500 0.500 1
In1 In 0.500 0.500 0.000 1
In2 In 0.500 0.500 0.249 1
# * calculated volume: 29.9 Å³ per atom
# * energy: -33.46 eV for the cell shown
# * size of the total moment: 0.00 μB/cell

---

# PrTlIn, optimized geometry, DFT PBE
data_PrTlIn
_space_group_name_H-M_alt 'I 4 m m'
_space_group_IT_number 107
_space_group_name_Hall 'I 4 -2'
_cell_length_a 3.698
_cell_length_b 3.698
_cell_length_c 12.639
_cell_angle_alpha 90.00
_cell_angle_beta 90.00
_cell_angle_gamma 90.00
loop_
_atom_site_label
_atom_site_type_symbol
_atom_site_fract_x
_atom_site_fract_y
_atom_site_fract_z
_atom_site_occupancy
Pr1 Pr 0.000 0.000 0.000 1
Tl1 Tl 0.000 0.000 0.678 1
In1 In 0.000 0.000 0.328 1
# * calculated volume: 28.8 Å³ per atom
# * energy: -21.35 eV for the cell shown
# * size of the total moment: 0.00 μB/cell

---

# Pr6Tl6In, optimized geometry, DFT PBE
data_Pr6Tl6In
_space_group_name_H-M_alt 'P 6/m m m'
_space_group_IT_number 191
_space_group_name_Hall '-P 6 2'
_cell_length_a 6.6516
_cell_length_b 6.6516
_cell_length_c 10.8830
_cell_angle_alpha 90.00
_cell_angle_beta 90.00
_cell_angle_gamma 120.00
loop_
_atom_site_label
_atom_site_type_symbol
_atom_site_fract_x
_atom_site_fract_y
_atom_site_fract_z
_atom_site_occupancy
Pr1 Pr 0.0000 0.0000 0.1956 1
Pr2 Pr 0.3333 0.6667 0.0000 1
Pr3 Pr 0.3333 0.6667 0.5000 1
Tl1 Tl 0.0000 0.5000 0.2490 1
In1 In 0.0000 0.0000 0.5000 1
# * calculated volume: 32.1 Å³ per atom
# * energy: -48.81 eV for the cell shown
# * size of the total moment: 0.00 μB/cell

---

# Pr2Tl3In3, optimized geometry, DFT PBE
data_Pr2Tl3In3
_space_group_name_H-M_alt 'P m m m'
_space_group_IT_number 47
_space_group_name_Hall '-P 2 2'
_cell_length_a 4.791
_cell_length_b 4.821
_cell_length_c 9.577
_cell_angle_alpha 90.00
_cell_angle_beta 90.00
_cell_angle_gamma 90.00
loop_
_atom_site_label
_atom_site_type_symbol
_atom_site_fract_x
_atom_site_fract_y
_atom_site_fract_z
_atom_site_occupancy
Pr1 Pr 0.000 0.000 0.248 1
Tl1 Tl 0.000 0.500 0.500 1
Tl2 Tl 0.500 0.000 0.000 1
Tl3 Tl 0.500 0.000 0.500 1
In1 In 0.000 0.500 0.000 1
In2 In 0.500 0.500 0.246 1
# * calculated volume: 27.7 Å³ per atom
# * energy: -28.01 eV for the cell shown
# * size of the total moment: 0.00 μB/cell

---

Please write out number 11 again, unchanged.
# Pr6Tl6In, optimized geometry, DFT PBE
data_Pr6Tl6In
_space_group_name_H-M_alt 'P 6/m m m'
_space_group_IT_number 191
_space_group_name_Hall '-P 6 2'
_cell_length_a 6.6516
_cell_length_b 6.6516
_cell_length_c 10.8830
_cell_angle_alpha 90.00
_cell_angle_beta 90.00
_cell_angle_gamma 120.00
loop_
_atom_site_label
_atom_site_type_symbol
_atom_site_fract_x
_atom_site_fract_y
_atom_site_fract_z
_atom_site_occupancy
Pr1 Pr 0.0000 0.0000 0.1956 1
Pr2 Pr 0.3333 0.6667 0.0000 1
Pr3 Pr 0.3333 0.6667 0.5000 1
Tl1 Tl 0.0000 0.5000 0.2490 1
In1 In 0.0000 0.0000 0.5000 1
# * calculated volume: 32.1 Å³ per atom
# * energy: -48.81 eV for the cell shown
# * size of the total moment: 0.00 μB/cell